VASP calculation (GGA+U) on RbVF3 after structural relaxation.

Output
* electronic total energy: -5.3433 eV per atom

Unit cell a=12.852 b=7.741 c=7.741 alpha=104.82 beta=133.80 gamma=46.20
Each line ends with the local moment (μB).
Positions (direct):
V 0.310 0.216 0.473  2.72
V 0.190 0.973 0.716  2.72
V 0.690 0.784 0.527  2.72
V 0.810 0.027 0.284  2.72
Rb 0.750 0.248 0.748  0.00
Rb 0.250 0.752 0.252  0.00
Rb 0.750 0.610 0.110  0.01
Rb 0.250 0.390 0.890  0.01
F 0.462 0.198 0.435  0.01
F 0.038 0.935 0.698  0.01
F 0.538 0.802 0.565  0.01
F 0.962 0.065 0.302  0.01
F 0.083 0.236 0.189  0.00
F 0.417 0.689 0.736  0.00
F 0.917 0.764 0.811  0.00
F 0.583 0.311 0.264  0.00
F 0.560 0.103 0.894  0.01
F 0.940 0.394 0.603  0.01
F 0.440 0.897 0.106  0.01
F 0.060 0.606 0.397  0.01